## La2SmDyTm5 (PBE)

Data for La2SmDyTm5 after structural relaxation.

Structure (extended XYZ):
```
18
Lattice="-5.107 6.614 -1.956 -5.352 -5.335 -4.068 1.244 -1.740 9.698" Properties=species:S:1:pos:R:3 pbc="T T T"
La -2.647 -1.257 -1.785
La -3.788 3.458 -1.689
La -6.670 -2.179 -4.335
La -7.812 2.536 -4.239
Sm -4.669 -3.218 1.309
Sm -4.546 2.757 2.365
Dy -1.993 -0.550 3.343
Dy -7.222 0.090 0.331
Tm -6.667 3.359 -0.796
Tm -3.159 2.245 5.103
Tm -2.548 -3.820 4.470
Tm -0.230 -0.688 6.367
Tm -5.477 -0.887 3.206
Tm -8.985 0.228 -2.692
Tm -3.738 0.427 0.468
Tm -6.056 -2.705 -1.429
Tm -5.229 0.640 -3.012
Tm 0.000 0.000 0.000
```

## Properties
ΔE_f: 2.31 eV per formula unit
Calculated total energy: -4.3577 eV per atom
Magnetization: 0.00 Bohr magnetons per cell

## LaSm2DyTm5 (PBE)

Data for LaSm2DyTm5 after structural relaxation.

Structure (extended XYZ):
```
18
Lattice="8.736 0.000 0.000 0.000 8.736 0.000 -4.368 -4.368 7.606" Properties=species:S:1:pos:R:3 pbc="T T T"
La 0.000 0.000 3.803
La 4.368 4.368 3.803
Sm 1.012 3.356 0.000
Sm 5.380 1.012 0.000
Sm 3.356 7.724 0.000
Sm 7.724 5.380 0.000
Dy 0.000 4.368 3.803
Dy 4.368 0.000 3.803
Tm 6.916 2.548 2.054
Tm 2.548 -1.820 5.552
Tm -2.548 1.820 5.552
Tm -1.820 -2.548 5.552
Tm 1.820 2.548 5.552
Tm 6.188 6.916 2.054
Tm 2.548 1.820 2.054
Tm 1.820 6.188 2.054
Tm 4.368 4.368 0.000
Tm 0.000 0.000 0.000
```

## Properties
ΔE_f: 2.38 eV per formula unit
Calculated total energy: -4.3277 eV per atom
Magnetization: 0.00 Bohr magnetons per cell

## LaSm2Dy2Tm (PBE)

Data for LaSm2Dy2Tm after structural relaxation.

Structure (extended XYZ):
```
12
Lattice="-5.135 -0.795 -2.241 4.026 -5.172 -7.391 -0.717 -5.897 3.736" Properties=species:S:1:pos:R:3 pbc="T T T"
La 0.000 0.000 0.000
La -0.913 -5.932 -2.947
Sm 0.606 -6.202 -6.333
Sm -2.432 -5.662 0.438
Sm 2.144 -7.891 -2.112
Sm 1.165 -3.178 -1.542
Dy -2.075 -2.742 -1.416
Dy 2.507 -4.918 -3.999
Dy 0.249 -9.123 -4.478
Dy 0.802 -6.151 0.345
Tm -0.555 -2.984 -4.816
Tm -0.358 -2.949 1.868
```

## Properties
ΔE_f: 0.37 eV per formula unit
Calculated total energy: -4.6115 eV per atom
Magnetization: 0.00 Bohr magnetons per cell

## LaSmDy3Tm (PBE)

Data for LaSmDy3Tm after structural relaxation.

Structure (extended XYZ):
```
12
Lattice="-2.046 -4.442 2.864 8.563 2.826 4.891 -3.864 4.374 4.024" Properties=species:S:1:pos:R:3 pbc="T T T"
La 1.599 4.685 8.406
La 1.055 -1.926 3.373
Sm -0.260 1.248 1.749
Sm 2.914 1.510 10.030
Dy 2.977 -0.607 6.791
Dy 0.277 1.424 8.013
Dy 6.166 1.745 7.110
Dy 2.377 1.334 3.766
Dy -3.512 1.013 4.669
Dy -0.323 3.366 4.988
Tm -0.528 -0.037 5.172
Tm 3.181 2.795 6.607
```

## Properties
ΔE_f: 1.19 eV per formula unit
Calculated total energy: -4.4555 eV per atom
Magnetization: 0.00 Bohr magnetons per cell